1.
DFT (PBE) results for K2ZrCo after structural relaxation.

Properties
- SG: No. 8

abc: 3.6819 3.6819 11.6442
angles: 81.53 81.53 59.72
With the nearest neighbours (Å) after each atom.
Fractional positions:
Co: 0.2344 0.2344 0.2960  3 Zr 2.48
K: 0.9683 0.9683 0.0838  3 Co 3.23
K: 0.7651 0.7651 0.7127  6 K 3.67-3.68, 3 Zr 4.08-4.10
Zr: 0.5323 0.5323 0.4076  3 Co 2.48

2.
DFT (PBE) results for La2Be3Pt12Au after structural relaxation.

Properties
- SG: No. 166

abc: 7.6455 7.6455 7.6455
angles: 63.53 63.53 63.53
With the nearest neighbours (Å) after each atom.
Fractional positions:
La: 0.6101 0.6101 0.6101  6 Pt 2.83-2.90
La: 0.3899 0.3899 0.3899  6 Pt 2.83-2.90
Be: 0.5000 0.0000 0.0000  6 Pt 2.26-2.30
Be: 0.0000 0.5000 0.0000  6 Pt 2.26-2.30
Be: 0.0000 0.0000 0.5000  6 Pt 2.26-2.30
Pt: 0.3507 0.3507 0.8976  2 Be 2.30
Pt: 0.8658 0.8658 0.3975  1 Be 2.26
Pt: 0.3975 0.8658 0.8658  1 Be 2.26
Pt: 0.8976 0.3507 0.3507  2 Be 2.30
Pt: 0.8658 0.3975 0.8658  1 Be 2.26
Pt: 0.3507 0.8976 0.3507  2 Be 2.30
Pt: 0.6493 0.6493 0.1024  2 Be 2.30
Pt: 0.1342 0.1342 0.6025  1 Be 2.26
Pt: 0.6025 0.1342 0.1342  1 Be 2.26
Pt: 0.1024 0.6493 0.6493  2 Be 2.30
Pt: 0.1342 0.6025 0.1342  1 Be 2.26
Pt: 0.6493 0.1024 0.6493  2 Be 2.30
Au: 0.0000 0.0000 0.0000  6 Pt 2.59

no.,calculated volume (Å³ per cell),ΔH_f (0 K) (eV/atom)
1,134.3,0.488
2,340.7,-0.360